[1]
This record from Alexandria via LeMat-Bulk describes InSiCl2 after structural relaxation. The functional is GGA-PBE.

Output
Crystal system: monoclinic
ΔE_f (raw) (eV/atom): -0.287
Relative energy among the computed polymorphs (meV/atom): 150
Total magnetic moment (μB per formula unit): 0.00

Cell lengths 5.312, 3.408, 6.758 Å; angles 60.21, 90.00, 90.00 degrees
Element x y z (fractional)
Cl 0.000 0.730 0.899
Cl 0.500 0.365 0.260
In 0.000 0.663 0.459
Si 0.500 0.741 0.882

---

[2]
This record from Alexandria via LeMat-Bulk describes InSiCl3 after structural relaxation. The functional is GGA-PBE.

Output
Crystal system: cubic
ΔE_f (raw) (eV/atom): -0.024
Total magnetic moment (μB per formula unit): 1.34

Cell lengths 5.257, 5.257, 5.257 Å; angles 90.00, 90.00, 90.00 degrees
Element x y z (fractional)
Si 0.500 0.500 0.500
Cl 0.000 0.500 0.000
Cl 0.000 0.000 0.500
Cl 0.500 0.000 0.000
In 0.000 0.000 0.000

---

[3]
This record from Alexandria via LeMat-Bulk describes InSi4Cl2 after structural relaxation. The functional is GGA-PBE.

Output
Crystal system: tetragonal
ΔE_f (raw) (eV/atom): 0.932
Total magnetic moment (μB per formula unit): 0.00

Cell lengths 5.055, 5.055, 8.053 Å; angles 71.71, 71.71, 90.00 degrees
Element x y z (fractional)
Si 0.764 0.764 0.473
Si 0.236 0.236 0.527
Si 0.000 0.500 0.000
Si 0.500 0.000 0.000
Cl 0.605 0.605 0.790
Cl 0.395 0.395 0.210
In 0.000 0.000 0.000

---

[4]
This record from Alexandria via LeMat-Bulk describes InSi2Cl after structural relaxation. The functional is GGA-PBE.

Output
Crystal system: tetragonal
ΔE_f (raw) (eV/atom): 0.394
Relative energy among the computed polymorphs (meV/atom): 464
Total magnetic moment (μB per formula unit): 0.00

Cell lengths 6.257, 3.807, 3.807 Å; angles 90.00, 90.00, 90.00 degrees
Element x y z (fractional)
Cl 0.500 0.500 0.000
In 0.500 0.000 0.500
Si 0.000 0.000 0.000
Si 0.000 0.500 0.500

---

[5]
This record from Alexandria via LeMat-Bulk describes InSi2Cl after structural relaxation. The functional is GGA-PBE.

Output
Crystal system: trigonal
ΔE_f (raw) (eV/atom): -0.070
Relative energy among the computed polymorphs (meV/atom): 0
Total magnetic moment (μB per formula unit): 0.00

Cell lengths 8.129, 8.129, 8.129 Å; angles 27.57, 27.57, 27.57 degrees
Element x y z (fractional)
Cl 0.488 0.488 0.488
In 0.747 0.747 0.747
Si 0.980 0.980 0.980
Si 0.285 0.285 0.285

---

[6]
This record from Alexandria via LeMat-Bulk describes In2SiCl after structural relaxation. The functional is GGA-PBE.

Output
Crystal system: tetragonal
ΔE_f (raw) (eV/atom): 0.144
Relative energy among the computed polymorphs (meV/atom): 284
Total magnetic moment (μB per formula unit): 0.01

Cell lengths 6.578, 6.578, 6.578 Å; angles 143.18, 143.18, 53.06 degrees
Element x y z (fractional)
Cl 0.750 0.250 0.500
In 0.000 0.000 0.000
In 0.250 0.750 0.500
Si 0.500 0.500 0.000

---

[7]
This record from Alexandria via LeMat-Bulk describes InSiCl2 after structural relaxation. The functional is GGA-PBE.

Output
Crystal system: orthorhombic
ΔE_f (raw) (eV/atom): -0.010
Relative energy among the computed polymorphs (meV/atom): 428
Total magnetic moment (μB per formula unit): 0.00

Cell lengths 3.249, 4.077, 7.079 Å; angles 90.00, 90.00, 90.00 degrees
Element x y z (fractional)
Cl 0.000 0.000 0.980
Cl 0.000 0.000 0.520
In 0.500 0.500 0.250
Si 0.500 0.500 0.750

---

[8]
This record from Alexandria via LeMat-Bulk describes In2SiCl after structural relaxation. The functional is GGA-PBE.

Output
Crystal system: cubic
ΔE_f (raw) (eV/atom): 0.049
Relative energy among the computed polymorphs (meV/atom): 189
Total magnetic moment (μB per formula unit): 0.00

Cell lengths 5.061, 5.061, 5.061 Å; angles 60.00, 60.00, 60.00 degrees
Element x y z (fractional)
Si 0.000 0.000 0.000
Cl 0.500 0.500 0.500
In 0.250 0.250 0.250
In 0.750 0.750 0.750

---

[9]
This record from Alexandria via LeMat-Bulk describes InSiCl2 after structural relaxation. The functional is GGA-PBE.

Output
Crystal system: orthorhombic
ΔE_f (raw) (eV/atom): -0.191
Relative energy among the computed polymorphs (meV/atom): 246
Total magnetic moment (μB per formula unit): 0.00

Cell lengths 3.488, 3.488, 9.197 Å; angles 90.00, 90.00, 120.35 degrees
Element x y z (fractional)
Cl 0.000 0.000 0.959
Cl 0.000 0.000 0.541
In 0.500 0.500 0.250
Si 0.500 0.500 0.750

---

[10]
This record from Alexandria via LeMat-Bulk describes InSi2Cl after structural relaxation. The functional is GGA-PBE.

Output
Crystal system: orthorhombic
ΔE_f (raw) (eV/atom): 0.450
Relative energy among the computed polymorphs (meV/atom): 519
Total magnetic moment (μB per formula unit): 0.00

Cell lengths 3.149, 3.149, 9.354 Å; angles 90.00, 90.00, 120.70 degrees
Element x y z (fractional)
Cl 0.500 0.500 0.250
In 0.500 0.500 0.750
Si 0.000 0.000 0.018
Si 0.000 0.000 0.482

---

[11]
This record from Alexandria via LeMat-Bulk describes InSiCl2 after structural relaxation. The functional is GGA-PBE.

Output
Crystal system: tetragonal
ΔE_f (raw) (eV/atom): -0.165
Relative energy among the computed polymorphs (meV/atom): 272
Total magnetic moment (μB per formula unit): 0.00

Cell lengths 3.405, 3.405, 8.482 Å; angles 90.00, 90.00, 90.00 degrees
Element x y z (fractional)
Cl 0.000 0.000 0.914
Cl 0.500 0.500 0.324
In 0.000 0.000 0.516
Si 0.500 0.500 0.746

---

[12]
This record from Alexandria via LeMat-Bulk describes InSi2Cl after structural relaxation. The functional is GGA-PBE.

Output
Crystal system: orthorhombic
ΔE_f (raw) (eV/atom): 0.410
Relative energy among the computed polymorphs (meV/atom): 480
Total magnetic moment (μB per formula unit): 0.00

Cell lengths 2.928, 5.386, 5.347 Å; angles 90.00, 90.00, 90.00 degrees
Element x y z (fractional)
Cl 0.500 0.500 0.250
In 0.500 0.500 0.750
Si 0.000 0.000 0.989
Si 0.000 0.000 0.511

---

[13]
This record from Alexandria via LeMat-Bulk describes In2SiCl after structural relaxation. The functional is GGA-PBE.

Output
Crystal system: monoclinic
ΔE_f (raw) (eV/atom): -0.067
Relative energy among the computed polymorphs (meV/atom): 73
Total magnetic moment (μB per formula unit): 0.00

Cell lengths 6.098, 6.098, 3.167 Å; angles 66.65, 66.65, 81.53 degrees
Element x y z (fractional)
Cl 0.000 0.500 0.500
In 0.000 0.000 0.000
In 0.500 0.500 0.000
Si 0.500 0.000 0.500

---

[14]
This record from Alexandria via LeMat-Bulk describes InSi2Cl after structural relaxation. The functional is GGA-PBE.

Output
Crystal system: monoclinic
ΔE_f (raw) (eV/atom): -0.056
Relative energy among the computed polymorphs (meV/atom): 14
Total magnetic moment (μB per formula unit): 0.00

Cell lengths 3.854, 5.166, 5.323 Å; angles 58.33, 90.00, 90.00 degrees
Element x y z (fractional)
Cl 0.000 0.522 0.478
In 0.500 0.812 0.778
Si 0.000 0.977 0.074
Si 0.500 0.189 0.171

---

[15]
This record from Alexandria via LeMat-Bulk describes InSi2Cl after structural relaxation. The functional is GGA-PBE.

Output
Crystal system: monoclinic
ΔE_f (raw) (eV/atom): 0.231
Relative energy among the computed polymorphs (meV/atom): 301
Total magnetic moment (μB per formula unit): 0.00

Cell lengths 5.543, 3.773, 4.581 Å; angles 78.48, 90.00, 90.00 degrees
Element x y z (fractional)
Cl 0.500 0.250 0.250
In 0.500 0.750 0.750
Si 0.000 0.958 0.911
Si 0.000 0.542 0.589

---

Number 1: raw total energy -13.005 eV for the cell shown. Number 2: raw total energy -13.823 eV for the cell shown. Number 3: raw total energy -21.601 eV for the cell shown. Number 4: raw total energy -13.853 eV for the cell shown. Number 5: raw total energy -15.710 eV for the cell shown. Number 6: raw total energy -12.171 eV for the cell shown. Number 7: raw total energy -11.893 eV for the cell shown. Number 8: raw total energy -12.551 eV for the cell shown. Number 9: raw total energy -12.620 eV for the cell shown. Number 10: raw total energy -13.632 eV for the cell shown. Number 11: raw total energy -12.514 eV for the cell shown. Number 12: raw total energy -13.790 eV for the cell shown. Number 13: raw total energy -13.016 eV for the cell shown. Number 14: raw total energy -15.655 eV for the cell shown. Number 15: raw total energy -14.507 eV for the cell shown.